! Sm2AlBPt6 GGA-PBE relaxed; values from VASP
! * formation enthalpy at 0 K: -0.9511 eV/atom
! * space-group type: Pmmn, No. 59
! * volume: 364.79 Å³/cell
! * Fermi-level density of states: 6.48 states/eV/cell
&SYSTEM
  ibrav = 0, nat = 20, ntyp = 4
/
ATOMIC_SPECIES
Pt 195.08 Pt.upf
Sm 150.36 Sm.upf
Al 26.98 Al.upf
B 10.81 B.upf
ATOMIC_POSITIONS crystal
Pt 0.261 0.011 0.000
Sm 0.000 0.287 0.217
Al 0.000 0.684 0.500
Pt 0.500 0.145 0.255
B 0.000 0.806 0.000
Pt 0.748 0.410 0.500
Pt 0.500 0.145 0.745
Pt 0.239 0.989 0.500
B 0.500 0.194 0.500
Pt 0.752 0.590 0.000
Pt 0.248 0.590 0.000
Sm 0.500 0.713 0.283
Pt 0.761 0.989 0.500
Sm 0.000 0.287 0.783
Pt 0.739 0.011 0.000
Pt 0.000 0.855 0.755
Pt 0.252 0.410 0.500
Sm 0.500 0.713 0.717
Pt 0.000 0.855 0.245
Al 0.500 0.316 0.000
CELL_PARAMETERS angstrom
-0.739 0.061 5.674
-0.526 -7.324 0.010
8.587 -0.615 1.125